An optimized crystal structure of Tc2PbSe. Source: the Alexandria database, functional PBE.

Calculated values
ΔE to the lowest computed polymorph: 2.70 eV/f.u.
Raw formation energy: 0.829 eV/atom
VASP energy: -6.15 eV per atom

Cell and atoms, written as CIF:
```
data_Tc2PbSe
_chemical_formula_sum 'Tc4 Pb2 Se2'
_cell_length_a 5.467
_cell_length_b 9.128
_cell_length_c 3.831
_cell_angle_alpha 90.00
_cell_angle_beta 126.95
_cell_angle_gamma 90.00
_space_group_name_H-M_alt 'C 1 2/m 1'
_space_group_IT_number 12
loop_
_space_group_symop_operation_xyz
'x,y,z'
'-x,-y,-z'
'-x,y,-z'
'x,-y,z'
'x+1/2,y+1/2,z'
'-x+1/2,-y+1/2,-z'
'-x+1/2,y+1/2,-z'
'x+1/2,-y+1/2,z'
loop_
_atom_site_label
_atom_site_fract_x
_atom_site_fract_y
_atom_site_fract_z
Tc1 0.250 0.250 0.000
Pb1 0.000 0.000 0.500
Se1 0.000 0.500 0.500
```